# 1
## NdYAg2Pb2 (PBE)

Data for a geometry-optimized NdYAg2Pb2 structure.

Summary:
Its crystal system is trigonal. As for the total energy: -26.97 eV/cell.

Lattice parameters (Å, degrees): 4.8588 4.8588 7.5600 90.00 90.00 120.00
Space group P3m1 (No. 156)
Inequivalent atoms, fractional coordinates:
1 Nd 0.0000 0.0000 0.0000 x1
2 Y 0.0000 0.0000 0.5017 x1
3 Ag 0.3333 0.6667 0.1975 x1
4 Ag 0.6667 0.3333 0.6856 x1
5 Pb 0.3333 0.6667 0.7764 x1
6 Pb 0.6667 0.3333 0.2850 x1

# 2
## NpH24C8N2Cl6 (PBE)

Data for a geometry-optimized NpH24C8N2Cl6 structure.

Summary:
Its crystal system is cubic. As for the total energy: -853.56 eV/cell.

Lattice parameters (Å, degrees): 13.0475 13.0475 13.0475 90.00 90.00 90.00
Space group Fm-3m (No. 225)
Inequivalent atoms, fractional coordinates:
1 Np 0.0000 0.0000 0.0000 x4
2 H 0.1357 0.1357 0.2668 x96
3 C 0.1838 0.1838 0.3162 x32
4 N 0.2500 0.2500 0.2500 x8
5 Cl 0.0000 0.0000 0.2006 x24

# 3
## BeCuOsPb (PBE)

Data for a geometry-optimized BeCuOsPb structure.

Summary:
As for the energy relative to the lowest polymorph listed for this composition: 0.046 eV per atom. Its crystal system is cubic. As for the total energy: -77.43 eV/cell.

Lattice parameters (Å, degrees): 6.1936 6.1936 6.1936 90.00 90.00 90.00
Space group F-43m (No. 216)
Inequivalent atoms, fractional coordinates:
1 Be 0.0000 0.0000 0.0000 x4
2 Cu 0.0000 0.0000 0.5000 x4
3 Os 0.2500 0.2500 0.7500 x4
4 Pb 0.2500 0.2500 0.2500 x4

# 4
## HoCO3 (PBE)

Data for a geometry-optimized HoCO3 structure.

Summary:
Its crystal system is orthorhombic. As for the total energy: -155.83 eV/cell.

Lattice parameters (Å, degrees): 6.6913 8.0949 4.2668 90.00 90.00 90.00
Space group Pnma (No. 62)
Inequivalent atoms, fractional coordinates:
1 Ho 0.0000 0.0000 0.0000 x4
2 C 0.0956 0.2500 0.4713 x4
3 O 0.0135 0.2500 0.7604 x4
4 O 0.1887 0.1046 0.3974 x8

# 5
## LiAl2Mo (PBE)

Data for a geometry-optimized LiAl2Mo structure.

Summary:
Its crystal system is cubic. As for the total energy: -78.25 eV/cell.

Lattice parameters (Å, degrees): 6.1668 6.1668 6.1668 90.00 90.00 90.00
Space group F-43m (No. 216)
Inequivalent atoms, fractional coordinates:
1 Li 0.0000 0.0000 0.0000 x4
2 Al 0.0000 0.0000 0.5000 x4
3 Al 0.2500 0.2500 0.7500 x4
4 Mo 0.2500 0.2500 0.2500 x4

# 6
## SmTlAsO (PBE)

Data for a geometry-optimized SmTlAsO structure.

Summary:
As for the energy relative to the lowest polymorph listed for this composition: 0.104 eV per atom. Its crystal system is orthorhombic. As for the total energy: -43.82 eV/cell.

Lattice parameters (Å, degrees): 5.7154 6.2718 5.7638 90.00 90.00 90.00
Space group Pmc2_1 (No. 26)
Inequivalent atoms, fractional coordinates:
1 Sm 0.0000 0.1890 0.0000 x2
2 Tl 0.5000 0.2173 0.4170 x2
3 As 0.5000 0.2924 0.9122 x2
4 O 0.0000 0.1311 0.3690 x2

# 7
## Sc2CdGa (PBE)

Data for a geometry-optimized Sc2CdGa structure.

Summary:
Its crystal system is tetragonal. As for the total energy: -18.43 eV/cell.

Lattice parameters (Å, degrees): 3.4054 3.4054 7.0276 90.00 90.00 90.00
Space group P4/mmm (No. 123)
Inequivalent atoms, fractional coordinates:
1 Sc 0.0000 0.0000 0.2334 x2
2 Cd 0.5000 0.5000 0.5000 x1
3 Ga 0.5000 0.5000 0.0000 x1

# 8
## CdReGe (PBE)

Data for a geometry-optimized CdReGe structure.

Summary:
As for the energy relative to the lowest polymorph listed for this composition: 0.000 eV per atom. Its crystal system is cubic. As for the total energy: -62.20 eV/cell.

Lattice parameters (Å, degrees): 6.0803 6.0803 6.0803 90.00 90.00 90.00
Space group F-43m (No. 216)
Inequivalent atoms, fractional coordinates:
1 Cd 0.0000 0.0000 0.0000 x4
2 Re 0.0000 0.0000 0.5000 x4
3 Ge 0.2500 0.2500 0.2500 x4

# 9
## TbDy2Hg3PdAu2 (PBE)

Data for a geometry-optimized TbDy2Hg3PdAu2 structure.

Summary:
For the energy of formation from the pure elements, the calculation gives -0.674 eV/atom. Its crystal system is orthorhombic. As for the total energy: -65.00 eV/cell.

Lattice parameters (Å, degrees): 3.7548 13.6806 7.8889 90.00 90.00 90.00
Space group Amm2 (No. 38)
Inequivalent atoms, fractional coordinates:
1 Tb 0.0000 0.0000 0.0000 x2
2 Dy 0.0000 0.1963 0.4107 x4
3 Hg 0.5000 0.0000 0.3400 x2
4 Hg 0.5000 0.1334 0.7406 x4
5 Pd 0.0000 0.0000 0.6066 x2
6 Au 0.5000 0.1672 0.1074 x4

# 10
## AlHgPd2 (PBE)

Data for a geometry-optimized AlHgPd2 structure.

Summary:
Its crystal system is cubic. As for the total energy: -62.15 eV/cell.

Lattice parameters (Å, degrees): 6.3904 6.3904 6.3904 90.00 90.00 90.00
Space group F-43m (No. 216)
Inequivalent atoms, fractional coordinates:
1 Al 0.0000 0.0000 0.0000 x4
2 Hg 0.2500 0.2500 0.2500 x4
3 Pd 0.0000 0.0000 0.5000 x4
4 Pd 0.2500 0.2500 0.7500 x4

# 11
## Lu3InS6 (PBE)

Data for a geometry-optimized Lu3InS6 structure.

Summary:
Its crystal system is orthorhombic. As for the total energy: -229.50 eV/cell.

Lattice parameters (Å, degrees): 13.2746 16.3610 3.7788 90.00 90.00 90.00
Space group P2_12_12 (No. 18)
Inequivalent atoms, fractional coordinates:
1 Lu 0.0352 0.2258 0.2539 x4
2 Lu 0.1917 0.6445 0.2515 x4
3 Lu 0.2491 0.3903 0.2393 x4
4 In 0.0000 0.0000 0.8009 x2
5 In 0.0000 0.5000 0.7467 x2
6 S 0.0189 0.3933 0.2474 x4
7 S 0.0998 0.9087 0.2650 x4
8 S 0.1091 0.1211 0.7566 x4
9 S 0.1165 0.7445 0.7534 x4
10 S 0.1798 0.2862 0.7421 x4
11 S 0.1960 0.5206 0.7487 x4

# 12
## KNdO3 (PBE)

Data for a geometry-optimized KNdO3 structure.

Summary:
Its crystal system is orthorhombic. As for the total energy: -116.58 eV/cell.

Lattice parameters (Å, degrees): 6.1660 9.8695 6.2509 90.00 90.00 90.00
Space group Pnma (No. 62)
Inequivalent atoms, fractional coordinates:
1 K 0.0000 0.0000 0.0000 x4
2 Nd 0.0296 0.2500 0.4639 x4
3 O 0.1931 0.7500 0.2283 x4
4 O 0.2321 0.6319 0.7335 x8